(1)
{"formula": "SrScIr3", "functional": "SCAN", "state": "PBEsol geometry", "formation_enthalpy_0k_ev_per_atom": 2.2371, "total_magnetization_mub_per_fu": 0.0, "lattice": [[4.8005, 0.0000, 0.0000], [0.0000, 4.8005, 0.0000], [0.0000, 0.0000, 4.8005]], "species": ["Ir", "Ir", "Ir", "Sr", "Sc"], "fractional_positions": [[0.0000, 0.0000, 0.5000], [0.5000, 0.0000, 0.0000], [0.0000, 0.5000, 0.0000], [0.0000, 0.0000, 0.0000], [0.5000, 0.5000, 0.5000]]}


(2)
{"formula": "SrScIr", "functional": "SCAN", "state": "PBEsol geometry", "formation_enthalpy_0k_ev_per_atom": -0.3448, "total_magnetization_mub_per_fu": 0.0, "de_polymorph_ev_per_atom": 0.000, "lattice": [[4.0721, 0.0000, 0.0000], [-2.0360, 3.5265, 0.0000], [0.0000, 0.0000, 5.8783]], "species": ["Sc", "Sr", "Ir"], "fractional_positions": [[0.3333, 0.6667, 0.7840], [0.6667, 0.3333, 0.2643], [0.0000, 0.0000, 0.9517]]}


(3)
{"formula": "SrScIr2", "functional": "SCAN", "state": "PBEsol geometry", "formation_enthalpy_0k_ev_per_atom": -0.2228, "total_magnetization_mub_per_fu": 0.0, "de_polymorph_ev_per_atom": 0.056, "lattice": [[3.0454, 0.0000, 0.0000], [-1.5227, 4.1007, 0.0438], [0.0000, -1.1682, 6.7079]], "species": ["Sc", "Ir", "Ir", "Sr"], "fractional_positions": [[0.0000, 0.0000, 0.5000], [0.7408, 0.4817, 0.6724], [0.2592, 0.5183, 0.3276], [0.5000, 0.0000, 0.0000]]}


(4)
{"formula": "SrZrSc2Ir", "functional": "SCAN", "state": "PBEsol geometry", "formation_enthalpy_0k_ev_per_atom": 0.1439, "total_magnetization_mub_per_fu": 2.4, "lattice": [[5.0047, 0.0000, 0.0000], [0.0000, 5.0047, 0.0000], [0.0000, 0.0000, 5.5642]], "species": ["Ir", "Sr", "Sc", "Sc", "Zr"], "fractional_positions": [[0.0000, 0.0000, 0.0000], [0.0000, 0.0000, 0.5000], [0.0000, 0.5000, 0.0000], [0.5000, 0.0000, 0.0000], [0.5000, 0.5000, 0.5000]]}


(5)
{"formula": "ScTa2Ir", "functional": "SCAN", "state": "PBEsol geometry", "formation_enthalpy_0k_ev_per_atom": -0.2138, "total_magnetization_mub_per_fu": 0.0, "lattice": [[2.9303, 0.0000, 0.0000], [0.0000, 2.9303, 0.0000], [0.0000, 0.0000, 8.2225]], "species": ["Ir", "Ta", "Ta", "Sc"], "fractional_positions": [[0.5000, 0.5000, 0.0000], [0.0000, 0.0000, 0.2223], [0.0000, 0.0000, 0.7777], [0.5000, 0.5000, 0.5000]]}


(6)
{"formula": "ScTaIr4", "functional": "SCAN", "state": "PBEsol geometry", "formation_enthalpy_0k_ev_per_atom": -0.5612, "total_magnetization_mub_per_fu": 0.0, "lattice": [[-2.8132, 4.2714, -0.5081], [-4.8640, -0.3054, -1.6329], [-3.8669, 0.9328, 3.2549]], "species": ["Sc", "Ir", "Ir", "Ir", "Ir", "Ta"], "fractional_positions": [[0.7500, 0.7500, 0.7500], [0.3754, 0.3754, 0.8738], [0.3754, 0.8738, 0.3754], [0.3754, 0.3754, 0.3754], [0.8738, 0.3754, 0.3754], [0.0000, 0.0000, 0.0000]]}